Compound: Sc4Tl2Bi
Source: the Alexandria database
Functional: PBE
Structure: relaxed

Computed properties:
DFT total energy   -32.87 eV/f.u.
Spin magnetization   0.0 μB per formula unit
DOS(E_F)   7.12 states/eV per cell
DFT formation energy   0.152 eV/atom

a b c (Å): 8.2415 8.2415 8.2415
angles (deg): 141.78 141.78 55.16
Closest atoms and distances in Å follow each position.
Positions (direct):
Sc (0.0000, 0.5000, 0.5000)  2 Bi 2.70
Sc (0.1944, 0.1944, 0.0000)  1 Tl 2.82, 1 Bi 2.84
Sc (0.5000, 0.0000, 0.5000)  2 Bi 2.70
Sc (0.8056, 0.8056, 0.0000)  1 Tl 2.82, 1 Bi 2.84
Tl (0.3871, 0.3871, 0.0000)  1 Sc 2.82
Tl (0.6129, 0.6129, 0.0000)  1 Sc 2.82
Bi (0.0000, 0.0000, 0.0000)  6 Sc 2.70-2.84

Compound: Sc10Tl3Bi3
Source: the Alexandria database
Functional: PBE
Structure: relaxed

Computed properties:
DFT total energy   -89.34 eV/f.u.
Spin magnetization   0.0 μB per formula unit
DOS(E_F)   12.34 states/eV per cell
DFT formation energy   -0.455 eV/atom

a b c (Å): 8.5437 8.5437 6.1686
angles (deg): 90.00 90.00 120.00
Closest atoms and distances in Å follow each position.
Positions (direct):
Sc (0.0000, 0.2320, 0.0000)  3 Bi 2.94-3.18
Sc (0.0000, 0.7655, 0.5000)  3 Tl 2.92-3.19
Sc (0.2320, 0.0000, 0.0000)  3 Bi 2.94-3.18
Sc (0.2344, 0.2344, 0.5000)  3 Tl 2.92-3.19
Sc (0.3333, 0.6667, 0.2575)  2 Sc 2.99-3.18, 3 Tl 3.03, 3 Bi 3.07
Sc (0.3333, 0.6667, 0.7425)  2 Sc 2.99-3.18, 3 Tl 3.03, 3 Bi 3.07
Sc (0.6667, 0.3333, 0.2575)  2 Sc 2.99-3.18, 3 Tl 3.03, 3 Bi 3.07
Sc (0.6667, 0.3333, 0.7425)  2 Sc 2.99-3.18, 3 Tl 3.03, 3 Bi 3.07
Sc (0.7655, 0.0000, 0.5000)  3 Tl 2.92-3.19
Sc (0.7680, 0.7680, 0.0000)  3 Bi 2.94-3.18
Tl (0.0000, 0.3918, 0.5000)  7 Sc 2.92-3.19
Tl (0.3918, 0.0000, 0.5000)  7 Sc 2.92-3.19
Tl (0.6082, 0.6082, 0.5000)  7 Sc 2.92-3.19
Bi (0.0000, 0.6041, 0.0000)  7 Sc 2.94-3.18
Bi (0.3959, 0.3959, 0.0000)  7 Sc 2.94-3.18
Bi (0.6041, 0.0000, 0.0000)  7 Sc 2.94-3.18

Compound: ScTl3Bi
Source: the Alexandria database
Functional: PBE
Structure: relaxed

Computed properties:
DFT total energy   -13.59 eV/f.u.
Spin magnetization   0.9 μB per formula unit
E above lowest polymorph   337 meV/atom
DOS(E_F)   6.97 states/eV per cell
DFT formation energy   0.745 eV/atom

a b c (Å): 5.9031 5.9031 5.9031
angles (deg): 90.00 90.00 90.00
Closest atoms and distances in Å follow each position.
Positions (direct):
Sc (0.0000, 0.0000, 0.0000)  12 Tl 4.17
Tl (0.0000, 0.5000, 0.5000)  2 Bi 2.95
Tl (0.5000, 0.0000, 0.5000)  2 Bi 2.95
Tl (0.5000, 0.5000, 0.0000)  2 Bi 2.95
Bi (0.5000, 0.5000, 0.5000)  6 Tl 2.95

Compound: Sc3TlBi
Source: the Alexandria database
Functional: PBE
Structure: relaxed

Computed properties:
DFT total energy   -25.91 eV/f.u.
Spin magnetization   0.2 μB per formula unit
E above lowest polymorph   0 meV/atom
DOS(E_F)   11.94 states/eV per cell
DFT formation energy   -0.133 eV/atom

a b c (Å): 3.8713 9.0140 9.0140
angles (deg): 61.54 90.00 90.00
Closest atoms and distances in Å follow each position.
Positions (direct):
Sc (0.0000, 0.0000, 0.0000)  2 Bi 2.86, 2 Tl 2.92
Sc (0.0000, 0.2816, 0.2816)  2 Bi 2.86, 2 Tl 2.92
Sc (0.5000, 0.3444, 0.7234)  2 Bi 3.00, 3 Tl 3.08-3.31, 1 Sc 3.29
Sc (0.5000, 0.5566, 0.9362)  2 Bi 3.00, 3 Tl 3.08-3.30, 1 Sc 3.29
Sc (0.5000, 0.7234, 0.3444)  2 Bi 3.00, 3 Tl 3.08-3.31, 1 Sc 3.29
Sc (0.5000, 0.9362, 0.5566)  2 Bi 3.00, 3 Tl 3.08-3.30, 1 Sc 3.29
Tl (0.0000, 0.6402, 0.6402)  8 Sc 3.08
Tl (0.5000, 0.1407, 0.1407)  4 Sc 2.92
Bi (0.0000, 0.1394, 0.6411)  6 Sc 2.86-3.00
Bi (0.0000, 0.6411, 0.1394)  6 Sc 2.86-3.00

Compound: Sc2TlBi
Source: the Alexandria database
Functional: PBE
Structure: relaxed

Computed properties:
DFT total energy   -19.68 eV/f.u.
Spin magnetization   0.0 μB per formula unit
E above lowest polymorph   143 meV/atom
DOS(E_F)   6.78 states/eV per cell
DFT formation energy   -0.192 eV/atom

a b c (Å): 6.5651 6.5651 6.5651
angles (deg): 105.24 105.24 118.31
Closest atoms and distances in Å follow each position.
Positions (direct):
Sc (0.1246, 0.6250, 0.9996)  2 Tl 2.94, 2 Bi 2.94
Sc (0.3750, 0.3746, 0.4996)  2 Tl 2.94, 2 Bi 2.94
Sc (0.6254, 0.1250, 0.0004)  2 Tl 2.94, 2 Bi 2.94
Sc (0.8750, 0.8754, 0.5004)  2 Tl 2.94, 2 Bi 2.94
Tl (0.0000, 0.0000, 0.0000)  4 Sc 2.94
Tl (0.7500, 0.2500, 0.5000)  4 Sc 2.94
Bi (0.2500, 0.7500, 0.5000)  4 Sc 2.94
Bi (0.5000, 0.5000, 0.0000)  4 Sc 2.94

Compound: Sc3TlBi
Source: the Alexandria database
Functional: PBE
Structure: relaxed

Computed properties:
DFT total energy   -24.38 eV/f.u.
Spin magnetization   0.0 μB per formula unit
E above lowest polymorph   306 meV/atom
DOS(E_F)   5.66 states/eV per cell
DFT formation energy   0.173 eV/atom

a b c (Å): 5.3462 5.3462 5.3462
angles (deg): 90.00 90.00 90.00
Closest atoms and distances in Å follow each position.
Positions (direct):
Sc (0.0000, 0.0000, 0.5000)  2 Tl 2.67
Sc (0.0000, 0.5000, 0.0000)  2 Tl 2.67
Sc (0.5000, 0.0000, 0.0000)  2 Tl 2.67
Tl (0.0000, 0.0000, 0.0000)  6 Sc 2.67
Bi (0.5000, 0.5000, 0.5000)  12 Sc 3.78

Compound: Sc8TlBi2
Source: the Alexandria database
Functional: PBE
Structure: relaxed

Computed properties:
DFT total energy   -62.87 eV/f.u.
Spin magnetization   0.7 μB per formula unit
DOS(E_F)   15.75 states/eV per cell
DFT formation energy   -0.190 eV/atom

a b c (Å): 7.8574 7.8574 5.5372
angles (deg): 100.85 100.85 118.69
Closest atoms and distances in Å follow each position.
Positions (direct):
Sc (0.0979, 0.3180, 0.6558)  5 Sc 2.98-3.29, 2 Bi 3.01-3.06, 1 Tl 3.31
Sc (0.2244, 0.7756, 0.0000)  2 Bi 2.97, 1 Tl 3.03, 2 Sc 3.29
Sc (0.3180, 0.0979, 0.6558)  5 Sc 2.98-3.29, 2 Bi 3.01-3.06, 1 Tl 3.31
Sc (0.4076, 0.4076, 0.1988)  1 Tl 3.04, 2 Bi 3.07, 6 Sc 3.07-3.24
Sc (0.5924, 0.5924, 0.8012)  1 Tl 3.04, 2 Bi 3.07, 6 Sc 3.07-3.24
Sc (0.6820, 0.9021, 0.3442)  5 Sc 2.98-3.29, 2 Bi 3.01-3.06, 1 Tl 3.31
Sc (0.7756, 0.2244, 0.0000)  2 Bi 2.97, 1 Tl 3.03, 2 Sc 3.29
Sc (0.9021, 0.6820, 0.3442)  5 Sc 2.98-3.29, 2 Bi 3.01-3.06, 1 Tl 3.31
Tl (0.0000, 0.0000, 0.0000)  8 Sc 3.03-3.31
Bi (0.3041, 0.6959, 0.5000)  8 Sc 2.97-3.07
Bi (0.6959, 0.3041, 0.5000)  8 Sc 2.97-3.07

Compound: TmScTlBi
Source: the Alexandria database
Functional: PBE
Structure: relaxed

Computed properties:
DFT total energy   -18.28 eV/f.u.
Spin magnetization   0.0 μB per formula unit
DOS(E_F)   3.92 states/eV per cell
DFT formation energy   -0.308 eV/atom

a b c (Å): 5.2992 5.2992 5.2992
angles (deg): 60.00 60.00 60.00
Closest atoms and distances in Å follow each position.
Positions (direct):
Tm (0.0000, 0.0000, 0.0000)  4 Bi 3.25, 4 Tl 3.25
Sc (0.5000, 0.5000, 0.5000)  4 Tl 3.25, 4 Bi 3.25
Tl (0.2500, 0.2500, 0.2500)  4 Sc 3.25, 4 Tm 3.25
Bi (0.7500, 0.7500, 0.7500)  4 Sc 3.25, 4 Tm 3.25

Compound: ScTl2VBi
Source: the Alexandria database
Functional: PBE
Structure: relaxed

Computed properties:
DFT total energy   -21.48 eV/f.u.
Spin magnetization   1.2 μB per formula unit
DOS(E_F)   6.56 states/eV per cell
DFT formation energy   0.517 eV/atom

a b c (Å): 5.3502 5.3502 4.8226
angles (deg): 90.00 90.00 90.00
Closest atoms and distances in Å follow each position.
Positions (direct):
Sc (0.0000, 0.0000, 0.0000)  2 V 2.41
Tl (0.0000, 0.5000, 0.5000)  2 V 2.68
Tl (0.5000, 0.0000, 0.5000)  2 V 2.68
V (0.0000, 0.0000, 0.5000)  2 Sc 2.41, 4 Tl 2.68
Bi (0.5000, 0.5000, 0.0000)  8 Tl 3.60, 4 Sc 3.78

Compound: TmScBi
Source: the Alexandria database
Functional: PBE
Structure: relaxed

Computed properties:
DFT total energy   -15.84 eV/f.u.
Spin magnetization   0.0 μB per formula unit
DOS(E_F)   13.36 states/eV per cell
DFT formation energy   -0.384 eV/atom

a b c (Å): 4.0020 10.4495 8.0808
angles (deg): 90.00 90.00 90.00
Closest atoms and distances in Å follow each position.
Positions (direct):
Tm (0.0000, 0.0609, 0.0000)  4 Bi 3.26-3.28, 6 Sc 3.33-3.37
Tm (0.0000, 0.3732, 0.6258)  6 Bi 3.24-3.26, 2 Sc 3.55
Tm (0.0000, 0.6268, 0.1258)  6 Bi 3.24-3.26, 2 Sc 3.55
Tm (0.0000, 0.9391, 0.5000)  4 Bi 3.26-3.28, 6 Sc 3.33-3.37
Sc (0.5000, 0.1507, 0.3153)  3 Bi 2.95-3.15, 1 Sc 3.21
Sc (0.5000, 0.3168, 0.9806)  3 Bi 2.92-3.00, 1 Sc 3.21
Sc (0.5000, 0.6832, 0.4806)  3 Bi 2.92-3.00, 1 Sc 3.21
Sc (0.5000, 0.8493, 0.8153)  3 Bi 2.95-3.15, 1 Sc 3.21
Bi (0.5000, 0.1352, 0.6928)  3 Sc 3.00-3.15, 6 Tm 3.24-3.28
Bi (0.5000, 0.4333, 0.3174)  3 Sc 2.92-2.98, 4 Tm 3.24-3.26
Bi (0.5000, 0.5667, 0.8174)  3 Sc 2.92-2.98, 4 Tm 3.24-3.26
Bi (0.5000, 0.8648, 0.1928)  3 Sc 3.00-3.15, 6 Tm 3.24-3.28

Compound: Tm5Sc2Bi5
Source: the Alexandria database
Functional: PBE
Structure: relaxed

Computed properties:
DFT total energy   -60.56 eV/f.u.
Spin magnetization   0.0 μB per formula unit
DOS(E_F)   8.68 states/eV per cell
DFT formation energy   -0.512 eV/atom

a b c (Å): 7.5508 7.5508 12.4117
angles (deg): 113.85 113.85 33.56
Closest atoms and distances in Å follow each position.
Positions (direct):
Tm (0.0000, 0.0000, 0.0000)  6 Bi 3.08-3.37
Tm (0.1653, 0.1653, 0.5251)  5 Bi 3.15-3.29, 2 Sc 3.42, 3 Tm 3.52-3.53
Tm (0.1994, 0.1994, 0.8229)  5 Bi 3.05-3.22
Tm (0.8006, 0.8006, 0.1771)  5 Bi 3.05-3.22
Tm (0.8347, 0.8347, 0.4749)  5 Bi 3.15-3.29, 2 Sc 3.42, 3 Tm 3.52-3.53
Sc (0.4444, 0.4444, 0.7065)  4 Bi 2.88-3.00
Sc (0.5556, 0.5556, 0.2935)  4 Bi 2.88-3.00
Bi (0.1913, 0.1913, 0.2754)  2 Sc 3.00, 5 Tm 3.22-3.29
Bi (0.3821, 0.3821, 0.0653)  1 Sc 2.88, 5 Tm 3.05-3.08
Bi (0.5000, 0.5000, 0.5000)  2 Sc 2.99, 4 Tm 3.15
Bi (0.6179, 0.6179, 0.9347)  1 Sc 2.88, 5 Tm 3.05-3.08
Bi (0.8087, 0.8087, 0.7246)  2 Sc 3.00, 5 Tm 3.22-3.29

Compound: TmSc2Bi2
Source: the Alexandria database
Functional: PBE
Structure: relaxed

Computed properties:
DFT total energy   -26.73 eV/f.u.
Spin magnetization   0.0 μB per formula unit
DOS(E_F)   4.82 states/eV per cell
DFT formation energy   -0.367 eV/atom

a b c (Å): 4.6079 4.6079 7.1481
angles (deg): 101.09 101.09 77.87
Closest atoms and distances in Å follow each position.
Positions (direct):
Tm (0.0000, 0.0000, 0.0000)  6 Bi 3.11-3.37
Sc (0.2469, 0.7531, 0.5000)  2 Sc 2.86-2.93, 4 Bi 3.01-3.05
Sc (0.7531, 0.2469, 0.5000)  2 Sc 2.86-2.93, 4 Bi 3.01-3.05
Bi (0.3265, 0.3265, 0.7833)  4 Sc 3.01-3.05, 1 Tm 3.11
Bi (0.6735, 0.6735, 0.2167)  4 Sc 3.01-3.05, 1 Tm 3.11